# 1
DFT (GGA-PBE) results for Ba10BrN5Cl4 after structural relaxation.

Cell and atoms, written as extended XYZ:
```
20
Lattice="4.161 0.000 0.000 -2.081 3.604 0.000 -2.081 -1.201 38.696" Properties=species:S:1:pos:R:3 pbc="T T T"
Ba 0.000 2.402 20.833
Ba -2.081 1.201 36.176
Ba 0.000 0.000 17.863
Ba 0.000 0.000 28.509
Ba 0.000 2.402 33.208
Ba 2.081 1.201 2.519
Ba 0.000 2.402 10.187
Ba 2.081 1.201 13.157
Ba -2.081 1.201 25.539
Ba 0.000 0.000 5.487
N 0.000 0.000 11.672
N -2.081 1.201 19.348
N 0.000 2.402 27.024
N 0.000 0.000 34.691
N 0.000 2.402 4.005
Cl 0.000 2.402 15.509
Cl 0.000 0.000 23.187
Cl 2.081 1.201 7.837
Cl -2.081 1.201 30.859
Br 0.000 0.000 0.000
```

Calculated values
* uncorrected formation energy: -1.277 eV per atom
* spin magnetization: 0.00 μB per atom


# 2
DFT (GGA-PBE) results for BaNaBrCl2 after structural relaxation.

Cell and atoms, written as extended XYZ:
```
10
Lattice="4.426 0.000 0.000 -2.213 7.747 0.000 0.000 0.000 9.341" Properties=species:S:1:pos:R:3 pbc="T T T"
Cl 0.000 2.579 8.717
Cl 0.000 2.579 5.295
Cl 2.213 5.168 0.624
Cl 2.213 5.168 4.046
Ba 2.213 4.057 7.006
Ba 0.000 3.690 2.335
Na 0.000 0.000 0.000
Na 0.000 0.000 4.671
Br 0.000 6.716 7.006
Br 2.213 1.031 2.335
```

Calculated values
* uncorrected formation energy: -2.103 eV per atom
* spin magnetization: 0.00 μB per atom


# 3
DFT (GGA-PBE) results for BaBrCl2O after structural relaxation.

Cell and atoms, written as extended XYZ:
```
5
Lattice="-1.974 3.564 4.456 -6.187 -0.542 -2.308 -0.877 -4.849 3.489" Properties=species:S:1:pos:R:3 pbc="T T T"
Ba 0.000 0.000 0.000
Br -3.094 -0.271 -1.154
O -4.519 -0.913 2.819
Cl -0.439 -2.424 1.745
Cl -0.987 1.782 2.228
```

Calculated values
* uncorrected formation energy: -0.538 eV per atom
* spin magnetization: 0.60 μB per atom


# 4
DFT (GGA-PBE) results for Ba8P3Br3Cl after structural relaxation.

Cell and atoms, written as extended XYZ:
```
15
Lattice="-0.437 -9.333 -1.208 0.198 3.620 8.695 -7.737 1.058 -5.369" Properties=species:S:1:pos:R:3 pbc="T T T"
P -3.988 -2.328 1.059
P -4.087 -4.138 -3.289
P -3.769 2.339 1.663
Ba -5.757 -2.423 3.691
Ba -2.423 -6.580 -2.135
Ba -5.804 -4.407 -0.585
Ba -5.646 0.238 0.203
Ba -5.553 1.924 4.253
Ba -2.219 -2.233 -1.573
Ba -2.172 -0.248 2.704
Ba -2.331 -4.894 1.915
Br 0.000 0.000 0.000
Br 0.099 1.810 4.348
Br -0.120 -2.857 3.744
Cl -3.868 0.529 -2.684
```

Calculated values
* uncorrected formation energy: -1.484 eV per atom
* spin magnetization: 0.00 μB per atom


# 5
DFT (GGA-PBE) results for Ba6P3BrCl2 after structural relaxation.

Cell and atoms, written as extended XYZ:
```
12
Lattice="4.683 0.000 0.000 0.000 9.496 0.252 -2.341 -2.828 9.934" Properties=species:S:1:pos:R:3 pbc="T T T"
P 0.000 6.960 3.518
P 2.341 -0.293 6.668
P 2.341 4.748 0.126
Ba 2.341 -0.218 9.867
Ba 2.341 4.783 3.334
Ba 0.000 7.019 6.698
Ba 2.341 -0.352 3.489
Ba 0.000 6.885 0.319
Ba 0.000 1.884 6.853
Cl 0.000 2.223 3.405
Cl 2.341 4.444 6.782
Br 2.341 0.000 0.000
```

Calculated values
* uncorrected formation energy: -1.628 eV per atom
* spin magnetization: 0.00 μB per atom


# 6
DFT (GGA-PBE) results for BaPBrCl2 after structural relaxation.

Cell and atoms, written as extended XYZ:
```
5
Lattice="6.063 0.000 0.000 0.000 6.063 0.000 0.000 0.000 4.595" Properties=species:S:1:pos:R:3 pbc="T T T"
P 0.000 0.000 2.297
Ba 3.031 3.031 2.297
Cl 3.031 0.000 0.000
Cl 0.000 3.031 0.000
Br 0.000 0.000 0.000
```

Calculated values
* uncorrected formation energy: -0.511 eV per atom
* spin magnetization: 0.00 μB per atom
* relative energy among the computed polymorphs: 0.0 kJ/mol of atoms


# 7
DFT (GGA-PBE) results for Ba6P2Br3Cl after structural relaxation.

Cell and atoms, written as extended XYZ:
```
12
Lattice="4.678 0.000 0.000 0.000 9.496 0.209 -2.339 -2.874 9.912" Properties=species:S:1:pos:R:3 pbc="T T T"
Br 2.339 -0.346 6.673
Br 2.339 4.748 0.104
Br 0.000 6.968 3.447
P 0.000 2.161 3.316
P 2.339 4.461 6.804
Ba 0.000 2.309 0.237
Ba 2.339 4.313 9.883
Ba 2.339 4.345 3.570
Ba 0.000 2.277 6.550
Ba 2.339 0.066 3.292
Ba 0.000 6.556 6.829
Cl 2.339 0.000 0.000
```

Calculated values
* uncorrected formation energy: -1.613 eV per atom
* spin magnetization: 0.00 μB per atom


# 8
DFT (GGA-PBE) results for Ba4PBr2Cl after structural relaxation.

Cell and atoms, written as extended XYZ:
```
8
Lattice="4.659 0.000 0.000 0.000 8.021 0.131 0.000 -2.812 7.771" Properties=species:S:1:pos:R:3 pbc="T T T"
Br 2.329 -1.406 3.886
Br 0.000 2.605 3.951
Ba 0.000 -0.019 6.088
Ba 0.000 5.228 1.815
Ba 2.329 1.417 1.805
Ba 2.329 3.792 6.098
P 2.329 4.011 0.066
Cl 0.000 0.000 0.000
```

Calculated values
* uncorrected formation energy: -1.635 eV per atom
* spin magnetization: 0.00 μB per atom